Below is an optimized crystal structure of LaFe2Bi, with properties calculated at the PBE-GGA level.

abc: 4.5296 4.5296 10.0085
angles: 76.92 76.92 90.00
Site moments in Bohr magnetons follow the coordinates.
Sites, in units of the cell vectors:
1 Fe 0.5448 0.1250 0.2500  2.61
2 Fe 0.2052 0.6250 0.2500  2.61
3 Fe 0.3750 0.4552 0.7500  2.61
4 Fe 0.8750 0.7948 0.7500  2.60
5 Bi 0.0000 0.0000 0.0000  0.05
6 Bi 0.7500 0.2500 0.5000  0.05
7 La 0.5000 0.5000 0.0000  -0.17
8 La 0.2500 0.7500 0.5000  -0.17

Output
spin magnetization = 5.085 μB per formula unit
DFT formation energy = 0.553 eV per atom
space-group type = I-42d, No. 122